This record from Alexandria describes crystalline CrTc2Ru2 at its relaxed geometry. The functional is PBE.

Cell: 7.3739 7.3739 2.7854 Å, 90.00 90.00 90.00°
Last column: nearest neighbours and their distance in Å.
Space group P4/mbm (No. 127)
Symmetry-distinct sites (fractional):
Cr  0.0000  0.0000  0.0000 (multiplicity 2)  2 Cr 2.79, 4 Ru 2.91, 8 Tc 3.07
Tc  0.1713  0.3287  0.5000 (multiplicity 4)  6 Ru 2.54-2.62, 2 Tc 2.79
Ru  0.1254  0.6254  0.0000 (multiplicity 4)  6 Tc 2.54-2.62, 3 Ru 2.62-2.79

Output
- DFT formation energy (meV/atom) = 328.8
- crystal system = tetragonal